Computed, not measured: a relaxed structure of BaScCl3 at the GGA-PBE level of DFT.

Results
Uncorrected formation energy ... -1122 meV/atom
Final energy ... -0.1426 Ha/atom
Energy above the most stable polymorph in this dataset ... 0.5833 eV per atom
Magnetic moment ... 2.00 μB/f.u.

a = 5.966 Å, b = 5.966 Å, c = 5.966 Å
α = 90.00°, β = 90.00°, γ = 90.00°
Fractional positions:
Ba1 0.000 0.000 0.000
Sc1 0.500 0.500 0.500
Cl1 0.000 0.000 0.500
Cl2 0.000 0.500 0.000
Cl3 0.500 0.000 0.000